No. 1
Computed, not measured: a geometry-optimized LiTh2Pa structure at the PBE-GGA level of DFT.

DFT formation energy: 0.191 eV/atom
N(E_F): 5.0 states/eV/cell
total magnetization: 0.0 μB per formula unit

Cell: 3.342 3.342 9.845 Å, 90.00 90.00 90.00°
Positions (direct):
Li  0.000  0.000  0.000
Th  0.500  0.500  0.245
Th  0.500  0.500  0.755
Pa  0.000  0.000  0.500

No. 2
Computed, not measured: a geometry-optimized LiTh2Pa structure at the PBE-GGA level of DFT.

DFT formation energy: 0.174 eV/atom
N(E_F): 7.6 states/eV/cell
total magnetization: 0.0 μB per formula unit

Cell: 5.649 5.649 3.367 Å, 90.00 90.00 90.00°
Positions (direct):
Li  0.000  0.000  0.000
Th  0.000  0.500  0.500
Th  0.500  0.000  0.500
Pa  0.500  0.500  0.000

No. 3
Computed, not measured: a geometry-optimized LiThPa structure at the PBE-GGA level of DFT.

DFT formation energy: 0.215 eV/atom
N(E_F): 9.6 states/eV/cell
total magnetization: 0.0 μB per formula unit

Cell: 3.294 3.294 16.896 Å, 95.66 95.66 59.96°
Positions (direct):
Li  0.190  0.190  0.070
Li  0.810  0.810  0.930
Th  0.303  0.303  0.407
Th  0.697  0.697  0.593
Pa  0.424  0.424  0.767
Pa  0.576  0.576  0.233

No. 4
Computed, not measured: a geometry-optimized LiPaTi structure at the PBE-GGA level of DFT.

DFT formation energy: 0.148 eV/atom
N(E_F): 9.8 states/eV/cell
total magnetization: 0.0 μB per formula unit

Cell: 3.086 3.086 15.806 Å, 97.36 97.36 57.56°
Positions (direct):
Li  0.189  0.189  0.082
Li  0.811  0.811  0.918
Pa  0.016  0.016  0.736
Pa  0.984  0.984  0.264
Ti  0.178  0.178  0.571
Ti  0.822  0.822  0.429